1.
VASP calculation (PBE) on a relaxed SiSF2 crystal.

Unit cell a=8.074 b=8.074 c=8.074 alpha=154.25 beta=154.25 gamma=36.73
Element x y z (fractional)
Si: 0.000 0.000 0.000
Si: 0.750 0.250 0.500
S: 0.250 0.750 0.500
S: 0.500 0.500 0.000
F: 0.092 0.625 0.967
F: 0.375 0.342 0.467
F: 0.658 0.125 0.033
F: 0.875 0.908 0.533

symmetry = I-42d, No. 122
ΔE to the lowest computed polymorph = 1.536 eV/atom



2.
VASP calculation (PBE) on a relaxed SiSF3 crystal.

Unit cell a=4.289 b=4.289 c=4.289 alpha=90.00 beta=90.00 gamma=90.00
Element x y z (fractional)
Si: 0.000 0.000 0.000
S: 0.500 0.500 0.500
F: 0.000 0.500 0.500
F: 0.500 0.000 0.500
F: 0.500 0.500 0.000

symmetry = Pm-3m, No. 221
ΔE to the lowest computed polymorph = 0.836 eV/atom



3.
VASP calculation (PBE) on a relaxed SiS3F crystal.

Unit cell a=4.395 b=4.395 c=4.395 alpha=90.00 beta=90.00 gamma=90.00
Element x y z (fractional)
Si: 0.000 0.000 0.000
S: 0.000 0.500 0.500
S: 0.500 0.000 0.500
S: 0.500 0.500 0.000
F: 0.500 0.500 0.500

symmetry = Pm-3m, No. 221
ΔE to the lowest computed polymorph = 0.562 eV/atom



4.
VASP calculation (PBE) on a relaxed SiSF2 crystal.

Unit cell a=4.268 b=4.268 c=4.268 alpha=60.00 beta=60.00 gamma=60.00
Element x y z (fractional)
Si: 0.000 0.000 0.000
S: 0.500 0.500 0.500
F: 0.250 0.250 0.250
F: 0.750 0.750 0.750

symmetry = Fm-3m, No. 225
ΔE to the lowest computed polymorph = 2.018 eV/atom



5.
VASP calculation (PBE) on a relaxed SiSF3 crystal.

Unit cell a=4.061 b=4.061 c=4.061 alpha=90.00 beta=90.00 gamma=90.00
Element x y z (fractional)
Si: 0.000 0.000 0.000
S: 0.500 0.500 0.500
F: 0.000 0.000 0.500
F: 0.000 0.500 0.000
F: 0.500 0.000 0.000

symmetry = Pm-3m, No. 221
ΔE to the lowest computed polymorph = 0.000 eV/atom



6.
VASP calculation (PBE) on a relaxed SiSnS2F crystal.

Unit cell a=4.358 b=4.358 c=5.642 alpha=90.00 beta=90.00 gamma=90.00
Element x y z (fractional)
Si: 0.000 0.000 0.000
Sn: 0.000 0.000 0.500
S: 0.000 0.500 0.000
S: 0.500 0.000 0.000
F: 0.500 0.500 0.500

symmetry = P4/mmm, No. 123



7.
VASP calculation (PBE) on a relaxed SmSF crystal.

Unit cell a=4.017 b=4.017 c=3.909 alpha=90.00 beta=90.00 gamma=120.00
Element x y z (fractional)
Sm: 0.000 0.000 0.000
S: 0.333 0.667 0.500
F: 0.667 0.333 0.000

symmetry = P-6m2, No. 187



8.
VASP calculation (PBE) on a relaxed SmSF crystal.

Unit cell a=4.814 b=4.814 c=4.814 alpha=132.82 beta=132.82 gamma=68.94
Element x y z (fractional)
Sm: 0.000 0.000 0.000
S: 0.383 0.383 0.000
F: 0.721 0.721 0.000

symmetry = I4mm, No. 107



9.
VASP calculation (PBE) on a relaxed SmSF crystal.

Unit cell a=4.451 b=4.451 c=4.451 alpha=60.00 beta=60.00 gamma=60.00
Element x y z (fractional)
Sm: 0.000 0.000 0.000
S: 0.750 0.750 0.750
F: 0.250 0.250 0.250

symmetry = F-43m, No. 216



10.
VASP calculation (PBE) on a relaxed SmSF crystal.

Unit cell a=3.889 b=3.889 c=6.942 alpha=90.00 beta=90.00 gamma=90.00
Element x y z (fractional)
Sm: 0.250 0.250 0.229
Sm: 0.750 0.750 0.771
S: 0.250 0.250 0.645
S: 0.750 0.750 0.355
F: 0.250 0.750 0.000
F: 0.750 0.250 0.000

symmetry = P4/nmm, No. 129



11.
VASP calculation (PBE) on a relaxed SmSF crystal.

Unit cell a=5.364 b=5.364 c=7.166 alpha=116.58 beta=116.58 gamma=41.34
Element x y z (fractional)
Sm: 0.180 0.180 0.224
Sm: 0.820 0.820 0.776
S: 0.424 0.424 0.139
S: 0.576 0.576 0.861
F: 0.199 0.199 0.576
F: 0.801 0.801 0.424

symmetry = C2/m, No. 12



12.
VASP calculation (PBE) on a relaxed Sm3S3F2 crystal.

Unit cell a=11.107 b=11.107 c=11.107 alpha=160.75 beta=159.60 gamma=28.20
Element x y z (fractional)
Sm: 0.000 0.000 0.000
Sm: 0.325 0.825 0.500
Sm: 0.675 0.175 0.500
S: 0.128 0.628 0.500
S: 0.500 0.500 0.000
S: 0.872 0.372 0.500
F: 0.250 0.250 0.000
F: 0.750 0.750 0.000

symmetry = Immm, No. 71



13.
VASP calculation (PBE) on a relaxed Sm4S5F crystal.

Unit cell a=9.543 b=9.543 c=7.386 alpha=112.72 beta=112.72 gamma=23.82
Element x y z (fractional)
Sm: 0.000 0.000 0.248
Sm: 0.000 0.000 0.752
Sm: 0.278 0.278 0.278
Sm: 0.722 0.722 0.722
S: 0.162 0.162 0.429
S: 0.162 0.162 0.895
S: 0.500 0.500 0.000
S: 0.838 0.838 0.105
S: 0.838 0.838 0.571
F: 0.500 0.500 0.500

symmetry = C2/m, No. 12



14.
VASP calculation (PBE) on a relaxed Sn4SF6 crystal.

Unit cell a=6.083 b=6.083 c=6.083 alpha=93.23 beta=93.23 gamma=93.23
Element x y z (fractional)
Sn: 0.000 0.000 0.000
Sn: 0.010 0.503 0.500
Sn: 0.500 0.010 0.503
Sn: 0.503 0.500 0.010
S: 0.428 0.428 0.428
F: 0.180 0.925 0.311
F: 0.205 0.640 0.903
F: 0.311 0.180 0.925
F: 0.640 0.903 0.205
F: 0.903 0.205 0.640
F: 0.925 0.311 0.180

symmetry = R3, No. 146
ΔE to the lowest computed polymorph = 0.003 eV/atom



15.
VASP calculation (PBE) on a relaxed Sn3SF crystal.

Unit cell a=5.015 b=5.015 c=5.015 alpha=90.00 beta=90.00 gamma=90.00
Element x y z (fractional)
Sn: 0.000 0.000 0.500
Sn: 0.000 0.500 0.000
Sn: 0.500 0.000 0.000
S: 0.500 0.500 0.500
F: 0.000 0.000 0.000

symmetry = Pm-3m, No. 221
ΔE to the lowest computed polymorph = 0.000 eV/atom



16.
VASP calculation (PBE) on a relaxed SnSF3 crystal.

Unit cell a=4.410 b=4.410 c=4.410 alpha=90.00 beta=90.00 gamma=90.00
Element x y z (fractional)
Sn: 0.000 0.000 0.000
S: 0.500 0.500 0.500
F: 0.000 0.000 0.500
F: 0.000 0.500 0.000
F: 0.500 0.000 0.000

symmetry = Pm-3m, No. 221
ΔE to the lowest computed polymorph = 0.000 eV/atom



17.
VASP calculation (PBE) on a relaxed SnSF3 crystal.

Unit cell a=4.396 b=4.396 c=4.396 alpha=90.00 beta=90.00 gamma=90.00
Element x y z (fractional)
Sn: 0.000 0.000 0.000
S: 0.500 0.500 0.500
F: 0.000 0.500 0.500
F: 0.500 0.000 0.500
F: 0.500 0.500 0.000

symmetry = Pm-3m, No. 221
ΔE to the lowest computed polymorph = 0.530 eV/atom



18.
VASP calculation (PBE) on a relaxed Sn4SF6 crystal.

Unit cell a=7.765 b=7.765 c=9.035 alpha=90.00 beta=90.00 gamma=112.31
Element x y z (fractional)
Sn: 0.144 0.856 0.500
Sn: 0.180 0.369 0.387
Sn: 0.324 0.676 0.895
Sn: 0.369 0.180 0.887
Sn: 0.631 0.820 0.387
Sn: 0.676 0.324 0.395
Sn: 0.820 0.631 0.887
Sn: 0.856 0.144 0.000
S: 0.328 0.672 0.609
S: 0.672 0.328 0.109
F: 0.007 0.484 0.871
F: 0.084 0.274 0.159
F: 0.159 0.841 0.937
F: 0.274 0.084 0.659
F: 0.384 0.616 0.271
F: 0.484 0.007 0.371
F: 0.516 0.993 0.871
F: 0.616 0.384 0.771
F: 0.726 0.916 0.159
F: 0.841 0.159 0.437
F: 0.916 0.726 0.659
F: 0.993 0.516 0.371

symmetry = Cmc2_1, No. 36
ΔE to the lowest computed polymorph = 0.000 eV/atom



19.
VASP calculation (PBE) on a relaxed SnSF crystal.

Unit cell a=6.159 b=7.479 c=5.617 alpha=90.00 beta=90.00 gamma=90.00
Element x y z (fractional)
Sn: 0.048 0.238 0.000
Sn: 0.452 0.738 0.500
Sn: 0.548 0.262 0.500
Sn: 0.952 0.762 0.000
S: 0.031 0.137 0.500
S: 0.469 0.637 0.000
S: 0.531 0.363 0.000
S: 0.969 0.863 0.500
F: 0.212 0.979 0.000
F: 0.288 0.479 0.500
F: 0.712 0.521 0.500
F: 0.788 0.021 0.000

symmetry = Pnnm, No. 58
ΔE to the lowest computed polymorph = 0.000 eV/atom



20.
VASP calculation (PBE) on a relaxed Sn2SF crystal.

Unit cell a=6.100 b=6.100 c=6.100 alpha=106.54 beta=106.54 gamma=115.50
Element x y z (fractional)
Sn: 0.110 0.625 0.985
Sn: 0.375 0.360 0.485
Sn: 0.640 0.125 0.015
Sn: 0.875 0.890 0.515
S: 0.250 0.750 0.500
S: 0.500 0.500 0.000
F: 0.000 0.000 0.000
F: 0.750 0.250 0.500

symmetry = I-42d, No. 122
ΔE to the lowest computed polymorph = 0.043 eV/atom



no.,ΔE_f (raw) (eV per atom),total energy (eV per atom)
1,-0.65,-3.97
2,-0.14,-3.17
3,0.90,-3.03
4,-0.16,-3.49
5,-0.97,-4.01
6,-0.18,-4.09
7,-2.95,-6.52
8,-2.51,-6.09
9,-2.82,-6.39
10,-3.01,-6.59
11,-2.89,-6.46
12,-2.58,-6.36
13,-2.15,-6.29
14,-1.91,-4.76
15,-0.11,-3.72
16,-1.20,-3.95
17,-0.67,-3.42
18,-1.91,-4.76
19,-1.21,-4.54
20,-0.82,-4.32